## K3In5Sb2 (PBE-GGA)

Data for crystalline K3In5Sb2 at its relaxed geometry.

The structure belongs to space group Ibam (No. 72); the cell edges are 12.5032, 15.3175 and 7.2862 Å and the angles 90.00°, 90.00° and 90.00°. The distinct sites, in fractional coordinates, are K at (0.0000, 0.0000, 0.2500), K at (0.2407, 0.3700, 0.0000), In at (0.0000, 0.2558, 0.2500), In at (0.0000, 0.5000, 0.2500), In at (0.1253, 0.3758, 0.5000) and Sb at (0.1440, 0.1473, 0.0000).

As for the total magnetization: 0.0 Bohr magnetons per cell.



## KInSb2 (PBE-GGA)

Data for crystalline KInSb2 at its relaxed geometry.

The structure belongs to space group P4/mmm (No. 123); the cell edges are 3.3834, 3.3834 and 10.5603 Å and the angles 90.00°, 90.00° and 90.00°. The distinct sites, in fractional coordinates, are K at (0.0000, 0.0000, 0.0000), In at (0.0000, 0.0000, 0.5000) and Sb at (0.5000, 0.5000, 0.2645).

As for the total magnetization: 0.0 Bohr magnetons per cell.



## KIn3Sb3 (PBE-GGA)

Data for crystalline KIn3Sb3 at its relaxed geometry.

The structure belongs to space group R-3 (No. 148, hexagonal axes); the cell edges are 8.4779, 8.4779 and 25.6393 Å and the angles 90.00°, 90.00° and 120.00°. The distinct sites, in fractional coordinates, are K at (0.0000, 0.0000, 0.1664), In at (0.0003, 0.3316, 0.0424) and Sb at (0.9996, 0.3345, 0.9242).

The calculation puts the energy above the most stable polymorph in this dataset at 0 meV per atom. As for the total magnetization: 0.0 Bohr magnetons per cell.



## KInSb (PBE-GGA)

Data for crystalline KInSb at its relaxed geometry.

The structure belongs to space group C2/m (No. 12); the cell edges are 11.3615, 6.0808 and 7.0645 Å and the angles 90.00°, 128.20° and 90.00°. The distinct sites, in fractional coordinates, are K at (0.1315, 0.0000, 0.3814), In at (0.2500, 0.2500, 0.0000), Sb at (0.0000, 0.5000, 0.0000) and Sb at (0.0000, 0.5000, 0.5000).

As for the total magnetization: 0.0 Bohr magnetons per cell.



## KIn2Sb (PBE-GGA)

Data for crystalline KIn2Sb at its relaxed geometry.

The structure belongs to space group C2/m (No. 12); the cell edges are 7.0038, 12.0836 and 3.1817 Å and the angles 90.00°, 115.85° and 90.00°. The distinct sites, in fractional coordinates, are K at (0.0000, 0.0000, 0.0000), In at (0.2500, 0.2500, 0.5000) and Sb at (0.0000, 0.5000, 0.0000).

As for the total magnetization: 0.0 Bohr magnetons per cell.



## KIn2Sb (PBE-GGA)

Data for crystalline KIn2Sb at its relaxed geometry.

The structure belongs to space group R3m (No. 160, hexagonal axes); the cell edges are 4.6288, 4.6288 and 24.3087 Å and the angles 90.00°, 90.00° and 120.00°. The distinct sites, in fractional coordinates, are K at (0.0000, 0.0000, 0.0000), In at (0.0000, 0.0000, 0.5626), In at (0.0000, 0.0000, 0.7715) and Sb at (0.0000, 0.0000, 0.1673).

As for the total magnetization: 0.0 Bohr magnetons per cell.



Number 1: ΔE_f (raw) -0.228 eV per atom. Number 2: ΔE_f (raw) -0.065 eV per atom. Number 3: ΔE_f (raw) -0.166 eV per atom. Number 4: ΔE_f (raw) -0.232 eV per atom. Number 5: ΔE_f (raw) -0.042 eV per atom. Number 6: ΔE_f (raw) -0.129 eV per atom.